DFT (PBE) results for a relaxed structure of TcNiIrPd2.

Computed properties:
- Crystal system: tetragonal
- Density: 10.9 g cm⁻³
- Energy of formation from the pure elements: 6.6 eV/f.u.
- Total DFT energy (no corrections): -28.80 eV/cell

The structure in CIF format:
```
data_TcNiIrPd2
_symmetry_space_group_name_H-M 'P 4/m m m'
_symmetry_Int_Tables_number 123
_symmetry_space_group_name_Hall '-P 4 2'
_cell_length_a 4.4674
_cell_length_b 4.4674
_cell_length_c 4.2915
_cell_angle_alpha 90.00
_cell_angle_beta 90.00
_cell_angle_gamma 90.00
loop_
_atom_site_label
_atom_site_fract_x
_atom_site_fract_y
_atom_site_fract_z
Tc1 0.0000 0.0000 0.0000
Ni1 0.0000 0.0000 0.5000
Ir1 0.5000 0.5000 0.0000
Pd1 0.0000 0.5000 0.5000
```

---

DFT (PBE) results for a relaxed structure of TcNiIr2Pd.

Computed properties:
- Crystal system: tetragonal
- Density: 10.8 g cm⁻³
- Energy of formation from the pure elements: 10.5 eV/f.u.
- Total DFT energy (no corrections): -28.61 eV/cell

The structure in CIF format:
```
data_TcNiIr2Pd
_symmetry_space_group_name_H-M 'P 4/m m m'
_symmetry_Int_Tables_number 123
_symmetry_space_group_name_Hall '-P 4 2'
_cell_length_a 4.7532
_cell_length_b 4.7532
_cell_length_c 4.4104
_cell_angle_alpha 90.00
_cell_angle_beta 90.00
_cell_angle_gamma 90.00
loop_
_atom_site_label
_atom_site_fract_x
_atom_site_fract_y
_atom_site_fract_z
Tc1 0.0000 0.0000 0.0000
Ni1 0.5000 0.5000 0.0000
Ir1 0.0000 0.5000 0.5000
Pd1 0.5000 0.5000 0.5000
```

---

DFT (PBE) results for a relaxed structure of ZnNiIrPd.

Computed properties:
- Crystal system: cubic
- Density: 12.8 g cm⁻³
- Energy of formation from the pure elements: -0.2 eV/f.u.
- Total DFT energy (no corrections): -85.42 eV/cell

The structure in CIF format:
```
data_ZnNiIrPd
_symmetry_space_group_name_H-M 'F -4 3 m'
_symmetry_Int_Tables_number 216
_symmetry_space_group_name_Hall 'F -4 2 3'
_cell_length_a 6.0289
_cell_length_b 6.0289
_cell_length_c 6.0289
_cell_angle_alpha 90.00
_cell_angle_beta 90.00
_cell_angle_gamma 90.00
loop_
_atom_site_label
_atom_site_fract_x
_atom_site_fract_y
_atom_site_fract_z
Zn1 0.0000 0.0000 0.0000
Ni1 0.0000 0.0000 0.5000
Ir1 0.2500 0.2500 0.2500
Pd1 0.2500 0.2500 0.7500
```

---

DFT (PBE) results for a relaxed structure of PmNi2Ir.

Computed properties:
- Crystal system: tetragonal
- Density: 11.9 g cm⁻³
- Energy of formation from the pure elements: -0.6 eV/f.u.
- Total DFT energy (no corrections): -25.75 eV/cell

The structure in CIF format:
```
data_PmNi2Ir
_symmetry_space_group_name_H-M 'P 4/m m m'
_symmetry_Int_Tables_number 123
_symmetry_space_group_name_Hall '-P 4 2'
_cell_length_a 4.0877
_cell_length_b 4.0877
_cell_length_c 3.8077
_cell_angle_alpha 90.00
_cell_angle_beta 90.00
_cell_angle_gamma 90.00
loop_
_atom_site_label
_atom_site_fract_x
_atom_site_fract_y
_atom_site_fract_z
Pm1 0.0000 0.0000 0.0000
Ni1 0.0000 0.5000 0.5000
Ir1 0.5000 0.5000 0.0000
```

---

DFT (PBE) results for a relaxed structure of PmNi10Ir2.

Computed properties:
- Crystal system: orthorhombic
- Density: 10.8 g cm⁻³
- Energy of formation from the pure elements: -1.1 eV/f.u.
- Total DFT energy (no corrections): -325.55 eV/cell

The structure in CIF format:
```
data_PmNi10Ir2
_symmetry_space_group_name_H-M 'F m m m'
_symmetry_Int_Tables_number 69
_symmetry_space_group_name_Hall '-F 2 2'
_cell_length_a 4.9686
_cell_length_b 11.7092
_cell_length_c 11.8273
_cell_angle_alpha 90.00
_cell_angle_beta 90.00
_cell_angle_gamma 90.00
loop_
_atom_site_label
_atom_site_fract_x
_atom_site_fract_y
_atom_site_fract_z
Pm1 0.0000 0.0000 0.0000
Ni1 0.0000 0.1102 0.3822
Ni2 0.0000 0.1757 0.1790
Ni3 0.2500 0.0000 0.2500
Ir1 0.2500 0.2500 0.0000
```

---

DFT (PBE) results for a relaxed structure of PmNi2Ir.

Computed properties:
- Crystal system: trigonal
- Density: 10.6 g cm⁻³
- Energy of formation from the pure elements: -1.5 eV/f.u.
- Total DFT energy (no corrections): -80.02 eV/cell

The structure in CIF format:
```
data_PmNi2Ir
_symmetry_space_group_name_H-M 'R -3 m'
_symmetry_Int_Tables_number 166
_symmetry_space_group_name_Hall '-R 3 2"'
_cell_length_a 4.2076
_cell_length_b 4.2076
_cell_length_c 13.9762
_cell_angle_alpha 90.00
_cell_angle_beta 90.00
_cell_angle_gamma 120.00
loop_
_atom_site_label
_atom_site_fract_x
_atom_site_fract_y
_atom_site_fract_z
Pm1 0.0000 0.0000 0.0000
Ni1 0.0000 0.0000 0.1946
Ir1 0.0000 0.0000 0.5000
```

---

DFT (PBE) results for a relaxed structure of Pm6NiIr3.

Computed properties:
- Crystal system: monoclinic
- Density: 9.4 g cm⁻³
- Energy of formation from the pure elements: -4.9 eV/f.u.
- Total DFT energy (no corrections): -131.61 eV/cell

The structure in CIF format:
```
data_Pm6NiIr3
_symmetry_space_group_name_H-M 'P 1 21/m 1'
_symmetry_Int_Tables_number 11
_symmetry_space_group_name_Hall '-P 2yb'
_cell_length_a 10.8932
_cell_length_b 4.2339
_cell_length_c 12.2905
_cell_angle_alpha 90.00
_cell_angle_beta 110.34
_cell_angle_gamma 90.00
loop_
_atom_site_label
_atom_site_fract_x
_atom_site_fract_y
_atom_site_fract_z
Pm1 0.0298 0.2500 0.3908
Pm2 0.0908 0.2500 0.9254
Pm3 0.2444 0.7500 0.3069
Pm4 0.3303 0.7500 0.7921
Pm5 0.3790 0.7500 0.1053
Pm6 0.3908 0.2500 0.5627
Ni1 0.4387 0.2500 0.3028
Ir1 0.0910 0.2500 0.1715
Ir2 0.1960 0.7500 0.5243
Ir3 0.3863 0.2500 0.9556
```

---

DFT (PBE) results for a relaxed structure of PmNi2Ir.

Computed properties:
- Crystal system: orthorhombic
- Density: 10.1 g cm⁻³
- Energy of formation from the pure elements: 0.3 eV/f.u.
- Total DFT energy (no corrections): -49.66 eV/cell

The structure in CIF format:
```
data_PmNi2Ir
_symmetry_space_group_name_H-M 'C m m m'
_symmetry_Int_Tables_number 65
_symmetry_space_group_name_Hall '-C 2 2'
_cell_length_a 5.3856
_cell_length_b 6.4700
_cell_length_c 4.2909
_cell_angle_alpha 90.00
_cell_angle_beta 90.00
_cell_angle_gamma 90.00
loop_
_atom_site_label
_atom_site_fract_x
_atom_site_fract_y
_atom_site_fract_z
Pm1 0.0000 0.0000 0.0000
Ni1 0.0000 0.3161 0.5000
Ir1 0.0000 0.5000 0.0000
```

---

DFT (PBE) results for a relaxed structure of PmNi3Ir2.

Computed properties:
- Crystal system: orthorhombic
- Density: 11.9 g cm⁻³
- Energy of formation from the pure elements: -1.5 eV/f.u.
- Total DFT energy (no corrections): -165.38 eV/cell

The structure in CIF format:
```
data_PmNi3Ir2
_symmetry_space_group_name_H-M 'C m c m'
_symmetry_Int_Tables_number 63
_symmetry_space_group_name_Hall '-C 2c 2'
_cell_length_a 9.3140
_cell_length_b 8.2511
_cell_length_c 5.1129
_cell_angle_alpha 90.00
_cell_angle_beta 90.00
_cell_angle_gamma 90.00
loop_
_atom_site_label
_atom_site_fract_x
_atom_site_fract_y
_atom_site_fract_z
Pm1 0.0000 0.1977 0.2500
Ni1 0.0000 0.4410 0.7500
Ni2 0.1875 0.2369 0.7500
Ir1 0.2261 0.5000 0.0000
```

---

DFT (PBE) results for a relaxed structure of Pm3Ni2Ir.

Computed properties:
- Crystal system: orthorhombic
- Density: 9.0 g cm⁻³
- Energy of formation from the pure elements: -2.5 eV/f.u.
- Total DFT energy (no corrections): -148.62 eV/cell

The structure in CIF format:
```
data_Pm3Ni2Ir
_symmetry_space_group_name_H-M 'P n m a'
_symmetry_Int_Tables_number 62
_symmetry_space_group_name_Hall '-P 2ac 2n'
_cell_length_a 11.5811
_cell_length_b 4.0583
_cell_length_c 11.7239
_cell_angle_alpha 90.00
_cell_angle_beta 90.00
_cell_angle_gamma 90.00
loop_
_atom_site_label
_atom_site_fract_x
_atom_site_fract_y
_atom_site_fract_z
Pm1 0.0586 0.2500 0.1216
Pm2 0.1203 0.7500 0.5578
Pm3 0.2057 0.2500 0.8068
Ni1 0.0202 0.7500 0.3051
Ni2 0.1844 0.7500 0.9905
Ir1 0.1267 0.2500 0.3718
```

---

DFT (PBE) results for a relaxed structure of Pm8NiIr2.

Computed properties:
- Crystal system: monoclinic
- Density: 8.9 g cm⁻³
- Energy of formation from the pure elements: -3.6 eV/f.u.
- Total DFT energy (no corrections): -130.16 eV/cell

The structure in CIF format:
```
data_Pm8NiIr2
_symmetry_space_group_name_H-M 'C 1 2/m 1'
_symmetry_Int_Tables_number 12
_symmetry_space_group_name_Hall '-C 2y'
_cell_length_a 17.7476
_cell_length_b 4.9768
_cell_length_c 6.9728
_cell_angle_alpha 90.00
_cell_angle_beta 102.93
_cell_angle_gamma 90.00
loop_
_atom_site_label
_atom_site_fract_x
_atom_site_fract_y
_atom_site_fract_z
Pm1 0.0331 0.0000 0.2864
Pm2 0.0913 0.5000 0.9527
Pm3 0.1664 0.5000 0.4677
Pm4 0.2045 0.0000 0.8228
Ni1 0.0000 0.5000 0.5000
Ir1 0.1946 0.0000 0.2254
```

---

DFT (PBE) results for a relaxed structure of Pm3Ni2Ir.

Computed properties:
- Crystal system: tetragonal
- Density: 9.6 g cm⁻³
- Energy of formation from the pure elements: -2.3 eV/f.u.
- Total DFT energy (no corrections): -36.96 eV/cell

The structure in CIF format:
```
data_Pm3Ni2Ir
_symmetry_space_group_name_H-M 'P 4/m m m'
_symmetry_Int_Tables_number 123
_symmetry_space_group_name_Hall '-P 4 2'
_cell_length_a 3.4890
_cell_length_b 3.4890
_cell_length_c 10.5412
_cell_angle_alpha 90.00
_cell_angle_beta 90.00
_cell_angle_gamma 90.00
loop_
_atom_site_label
_atom_site_fract_x
_atom_site_fract_y
_atom_site_fract_z
Pm1 0.0000 0.0000 0.0000
Pm2 0.0000 0.0000 0.3349
Ni1 0.5000 0.5000 0.1606
Ir1 0.5000 0.5000 0.5000
```